No. 1
First-principles (GGA-PBE) data for a relaxed Sr4Ac crystal, as listed in Alexandria via LeMat-Bulk.

DOS at the Fermi energy = 10.87 states/eV/cell
size of the total moment = 0.282 μB/atom
E = -1.5211 eV per atom
distance to the lowest polymorph of the same formula = 612 meV per atom
energy relative to the elements = 0.646 eV/atom

a = 6.758 Å, b = 6.758 Å, c = 6.758 Å
α = 90.00°, β = 90.00°, γ = 90.00°
Site moments in Bohr magnetons follow the coordinates.
Fractional positions:
Ac: 0.500 0.500 0.500  0.28
Sr: 0.500 0.000 0.500  0.06
Sr: 0.000 0.000 0.000  0.00
Sr: 0.000 0.500 0.500  0.06
Sr: 0.500 0.500 0.000  0.06

=====

No. 2
First-principles (GGA-PBE) data for a relaxed NiSnCl3 crystal, as listed in Alexandria via LeMat-Bulk.

DOS at the Fermi energy = 3.38 states/eV/cell
formation energy from raw total energies = -0.4403 eV/atom
size of the total moment = 0.000 μB/atom
E = -3.5051 eV per atom
distance to the lowest polymorph of the same formula = 0 meV per atom

a = 4.708 Å, b = 4.708 Å, c = 4.708 Å
α = 90.00°, β = 90.00°, γ = 90.00°
Fractional positions:
Sn: 0.500 0.500 0.500
Cl: 0.500 0.000 0.000
Cl: 0.000 0.000 0.500
Cl: 0.000 0.500 0.000
Ni: 0.000 0.000 0.000

=====

No. 3
First-principles (GGA-PBE) data for a relaxed Zr2BeAs crystal, as listed in Alexandria via LeMat-Bulk.

DOS at the Fermi energy = 2.41 states/eV/cell
size of the total moment = 0.000 μB/atom
E = -6.7268 eV per atom
distance to the lowest polymorph of the same formula = 434 meV per atom
energy relative to the elements = -0.359 eV/atom

a = 5.459 Å, b = 5.459 Å, c = 5.459 Å
α = 140.89°, β = 135.97°, γ = 60.33°
Fractional positions:
Zr: 0.008 0.008 0.000
Zr: 0.746 0.246 0.500
As: 0.469 0.469 0.000
Be: 0.277 0.777 0.500

=====

No. 4
First-principles (GGA-PBE) data for a relaxed ErPu2Tc2C4 crystal, as listed in Alexandria via LeMat-Bulk.

DOS at the Fermi energy = 16.58 states/eV/cell
size of the total moment = 1.088 μB/atom
E = -10.0403 eV per atom
energy relative to the elements = 0.055 eV/atom

a = 3.358 Å, b = 7.024 Å, c = 5.939 Å
α = 107.02°, β = 90.00°, γ = 103.83°
Site moments in Bohr magnetons follow the coordinates.
Fractional positions:
Tc: 0.322 0.644 0.995  0.00
Tc: 0.678 0.356 0.005  0.00
Er: 0.000 0.000 0.000  0.03
C: 0.455 0.910 0.255  -0.09
C: 0.775 0.549 0.777  -0.06
C: 0.225 0.451 0.223  -0.06
C: 0.545 0.090 0.745  -0.09
Pu: 0.873 0.745 0.473  4.91
Pu: 0.127 0.255 0.527  4.91

=====

No. 5
First-principles (GGA-PBE) data for a relaxed K6NbAs3O crystal, as listed in Alexandria via LeMat-Bulk.

formation energy from raw total energies = -0.7982 eV/atom
size of the total moment = 0.000 μB/atom
E = -4.0310 eV per atom

a = 11.169 Å, b = 11.169 Å, c = 11.169 Å
α = 90.00°, β = 90.00°, γ = 90.00°
Fractional positions:
K: 0.218 0.866 0.965
K: 0.718 0.634 0.035
K: 0.035 0.718 0.634
K: 0.866 0.965 0.218
K: 0.134 0.465 0.282
K: 0.535 0.782 0.366
K: 0.868 0.868 0.868
K: 0.632 0.132 0.368
K: 0.634 0.035 0.718
K: 0.341 0.159 0.841
K: 0.465 0.282 0.134
K: 0.159 0.841 0.341
K: 0.782 0.366 0.535
K: 0.681 0.319 0.819
K: 0.965 0.218 0.866
K: 0.841 0.341 0.159
K: 0.319 0.819 0.681
K: 0.819 0.681 0.319
K: 0.132 0.368 0.632
K: 0.181 0.181 0.181
K: 0.366 0.535 0.782
K: 0.368 0.632 0.132
K: 0.659 0.659 0.659
K: 0.282 0.134 0.465
O: 0.832 0.168 0.668
O: 0.332 0.332 0.332
O: 0.668 0.832 0.168
O: 0.168 0.668 0.832
As: 0.804 0.889 0.520
As: 0.889 0.520 0.804
As: 0.980 0.196 0.389
As: 0.304 0.611 0.480
As: 0.696 0.111 0.020
As: 0.389 0.980 0.196
As: 0.196 0.389 0.980
As: 0.611 0.480 0.304
As: 0.520 0.804 0.889
As: 0.111 0.020 0.696
As: 0.480 0.304 0.611
As: 0.020 0.696 0.111
Nb: 0.572 0.928 0.072
Nb: 0.072 0.572 0.928
Nb: 0.928 0.072 0.572
Nb: 0.428 0.428 0.428

=====

No. 6
First-principles (GGA-PBE) data for a relaxed Li3SmCl6 crystal, as listed in Alexandria via LeMat-Bulk.

DOS at the Fermi energy = 0.00 states/eV/cell
formation energy from raw total energies = -1.9728 eV/atom
size of the total moment = 0.000 μB/atom
E = -4.1268 eV per atom
distance to the lowest polymorph of the same formula = 0 meV per atom

a = 6.600 Å, b = 6.600 Å, c = 7.140 Å
α = 62.47°, β = 62.47°, γ = 60.00°
Fractional positions:
Cl: 0.757 0.061 0.752
Cl: 0.061 0.429 0.752
Cl: 0.938 0.551 0.245
Cl: 0.429 0.757 0.752
Cl: 0.267 0.938 0.245
Cl: 0.551 0.267 0.245
Sm: 0.847 0.847 0.459
Li: 0.150 0.150 0.551
Li: 0.351 0.351 0.948
Li: 0.649 0.649 0.052

=====

No. 7
First-principles (GGA-PBE) data for a relaxed ZnFe3 crystal, as listed in Alexandria via LeMat-Bulk.

DOS at the Fermi energy = 3.22 states/eV/cell
size of the total moment = 1.726 μB/atom
E = -6.6396 eV per atom
energy relative to the elements = 0.026 eV/atom

a = 2.490 Å, b = 2.490 Å, c = 8.127 Å
α = 90.00°, β = 90.00°, γ = 106.96°
Site moments in Bohr magnetons follow the coordinates.
Fractional positions:
Fe: 0.000 0.000 0.993  2.33
Fe: 0.500 0.500 0.750  2.40
Fe: 0.000 0.000 0.507  2.33
Zn: 0.500 0.500 0.250  -0.07

=====

No. 8
First-principles (GGA-PBE) data for a relaxed Pa2TlS5 crystal, as listed in Alexandria via LeMat-Bulk.

DOS at the Fermi energy = 8.90 states/eV/cell
formation energy from raw total energies = -1.3480 eV/atom
size of the total moment = 0.140 μB/atom
E = -6.5974 eV per atom

a = 5.356 Å, b = 7.115 Å, c = 13.233 Å
α = 90.00°, β = 90.00°, γ = 112.11°
Site moments in Bohr magnetons follow the coordinates.
Fractional positions:
S: 0.955 0.909 0.883  -0.02
S: 0.045 0.091 0.383  -0.02
S: 0.198 0.396 0.750  -0.02
S: 0.045 0.091 0.117  -0.02
S: 0.955 0.909 0.617  -0.02
S: 0.670 0.340 0.963  -0.03
S: 0.330 0.660 0.037  -0.03
S: 0.330 0.660 0.463  -0.03
S: 0.802 0.604 0.250  -0.02
S: 0.670 0.340 0.537  -0.03
Pa: 0.144 0.288 0.556  0.55
Pa: 0.856 0.712 0.444  0.55
Pa: 0.144 0.288 0.944  0.55
Pa: 0.856 0.712 0.056  0.55
Tl: 0.434 0.867 0.750  0.00
Tl: 0.566 0.133 0.250  0.00